# 1
A relaxed structure of Li4NbAu5. Source: the Alexandria database, functional GGA-PBE.

Output
As for the symmetry: P4/mmm, No. 123. As for the formation energy from the elements: -430 meV/atom.

Cell and atoms, written as extended XYZ:
```
10
Lattice="2.971 0.000 0.000 0.000 2.971 0.000 0.000 0.000 17.970" Properties=species:S:1:pos:R:3 pbc="T T T"
Nb 0.000 0.000 0.000
Li 0.000 0.000 3.799
Au 1.486 1.486 12.466
Au 1.486 1.486 15.965
Au 1.486 1.486 5.504
Au 1.486 1.486 8.985
Li 0.000 0.000 10.729
Li 0.000 0.000 14.172
Li 0.000 0.000 7.242
Au 1.486 1.486 2.005
```

***

# 2
A relaxed structure of Tb3Tl2Cd. Source: the Alexandria database, functional GGA-PBE.

Output
For the energy above the lowest structure with this stoichiometry, the calculation gives 3.3 meV per atom. As for the symmetry: P4/mmm, No. 123. As for the formation energy from the elements: -347 meV/atom.

Cell and atoms, written as extended XYZ:
```
6
Lattice="3.758 0.000 0.000 0.000 3.758 0.000 0.000 0.000 11.582" Properties=species:S:1:pos:R:3 pbc="T T T"
Tl 1.879 1.879 2.003
Cd 1.879 1.879 5.791
Tb 0.000 0.000 0.000
Tb 0.000 0.000 7.631
Tb 0.000 0.000 3.951
Tl 1.879 1.879 9.579
```

***

# 3
A relaxed structure of CaSc3Ga4. Source: the Alexandria database, functional GGA-PBE.

Output
As for the symmetry: P4/mmm, No. 123. As for the formation energy from the elements: -522 meV/atom.

Cell and atoms, written as extended XYZ:
```
16
Lattice="4.856 0.000 0.000 0.000 6.820 0.000 0.000 0.000 9.712" Properties=species:S:1:pos:R:3 pbc="T T T"
Sc 0.000 0.000 4.856
Ga 2.428 5.199 0.000
Sc 0.000 0.000 0.000
Ga 0.003 5.200 2.428
Ga 2.428 5.199 4.856
Ga 0.003 1.620 2.428
Ga 4.853 1.620 7.284
Ga 4.853 5.200 7.284
Ca 0.000 3.410 4.856
Sc 2.430 0.000 2.428
Sc 2.430 3.410 2.428
Sc 2.426 0.000 7.284
Ca 0.000 3.410 0.000
Sc 2.426 3.410 7.284
Ga 2.428 1.621 4.856
Ga 2.428 1.621 0.000
```

***

# 4
A relaxed structure of Hf3SeN. Source: the Alexandria database, functional GGA-PBE.

Output
For the energy above the lowest structure with this stoichiometry, the calculation gives 471.7 meV per atom. As for the symmetry: Pm-3m, No. 221. The value obtained for the formation energy without anion corrections is -0.526 eV per atom.

Cell and atoms, written as extended XYZ:
```
5
Lattice="4.436 0.000 0.000 0.000 4.436 0.000 0.000 0.000 4.436" Properties=species:S:1:pos:R:3 pbc="T T T"
Se 2.218 2.218 2.218
N 0.000 0.000 0.000
Hf 2.218 0.000 0.000
Hf 0.000 0.000 2.218
Hf 0.000 2.218 0.000
```

***

# 5
A relaxed structure of Y2TaRu. Source: the Alexandria database, functional GGA-PBE.

Output
For the energy above the lowest structure with this stoichiometry, the calculation gives 418.5 meV per atom. As for the symmetry: Pmmm, No. 47. As for the formation energy from the elements: 309 meV/atom.

Cell and atoms, written as extended XYZ:
```
4
Lattice="3.436 0.000 0.000 0.000 4.965 0.000 0.000 0.000 4.918" Properties=species:S:1:pos:R:3 pbc="T T T"
Ru 1.718 0.000 2.459
Y 0.000 0.000 0.000
Y 1.718 2.483 0.000
Ta 0.000 2.483 2.459
```

***

# 6
A relaxed structure of SrTc2As. Source: the Alexandria database, functional GGA-PBE.

Output
As for the symmetry: R-3m, No. 166. As for the formation energy from the elements: -37 meV/atom.

Cell and atoms, written as extended XYZ:
```
4
Lattice="4.396 0.008 -0.008 2.190 3.812 -0.008 2.208 1.281 5.695" Properties=species:S:1:pos:R:3 pbc="T T T"
Tc 2.207 1.280 4.500
Sr 2.199 1.275 1.420
As 6.596 3.826 4.260
Tc 4.399 2.551 4.035
```

***

# 7
A relaxed structure of RbPmRhO4. Source: the Alexandria database, functional GGA-PBE.

Output
As for the symmetry: Imma, No. 74. The value obtained for the formation energy without anion corrections is -1.708 eV per atom.

Cell and atoms, written as extended XYZ:
```
14
Lattice="-1.725 -5.777 2.600 3.983 4.195 3.673 -7.193 1.463 -1.521" Properties=species:S:1:pos:R:3 pbc="T T T"
O -1.678 -1.762 3.262
Rb -5.536 1.702 0.109
O -3.258 1.644 1.490
Pm -0.863 -2.889 1.300
O -3.062 -3.638 1.745
O -0.820 1.148 2.006
Rh -2.468 -0.059 2.376
Rh -1.605 2.829 1.076
Pm -4.459 -2.157 0.540
Rb 0.601 -1.821 4.643
O -4.116 -1.266 2.747
O -1.873 3.519 3.008
O -2.616 1.032 4.127
O -2.320 -1.151 0.626
```

***

# 8
A relaxed structure of KCd3Se. Source: the Alexandria database, functional GGA-PBE.

Output
For the energy above the lowest structure with this stoichiometry, the calculation gives 0.0 meV per atom. As for the symmetry: Pm-3m, No. 221. The value obtained for the formation energy without anion corrections is 0.109 eV per atom.

Cell and atoms, written as extended XYZ:
```
5
Lattice="5.690 0.000 0.000 0.000 5.690 0.000 0.000 0.000 5.690" Properties=species:S:1:pos:R:3 pbc="T T T"
Se 0.000 0.000 0.000
Cd 0.000 2.845 0.000
Cd 0.000 0.000 2.845
K 2.845 2.845 2.845
Cd 2.845 0.000 0.000
```

***

no.,calculated density (Mg/m³),E_tot (hartree per atom)
1,11.6,-0.141
2,10.1,-0.132
3,4.7,-0.171
4,12.0,-0.326
5,9.1,-0.302
6,6.2,-0.250
7,5.7,-0.236
8,4.1,-0.050